No. 1
Computed, not measured: a geometry-optimized MgFeCuS3 structure at the PBE level of DFT. Values from VASP.

Cell and atoms, written as Quantum ESPRESSO input:
```
&SYSTEM
  ibrav = 0, nat = 12, ntyp = 4
/
ATOMIC_SPECIES
Cu 63.55 Cu.upf
Fe 55.84 Fe.upf
Mg 24.30 Mg.upf
S 32.06 S.upf
CELL_PARAMETERS angstrom
-5.946 0.847 1.144
4.835 -3.729 0.319
2.016 3.301 8.033
ATOMIC_POSITIONS crystal
Cu 0.956 0.044 0.250
Cu 0.044 0.956 0.750
Fe 0.500 0.500 0.000
Fe 0.500 0.500 0.500
Mg 0.252 0.748 0.250
Mg 0.748 0.252 0.750
S 0.864 0.136 0.035
S 0.585 0.415 0.250
S 0.864 0.136 0.465
S 0.136 0.864 0.535
S 0.415 0.585 0.750
S 0.136 0.864 0.965
```

Computed properties:
Crystal system: orthorhombic
Raw total energy (Ha/atom): -0.1737

No. 2
Computed, not measured: a geometry-optimized MgFeCuSe3 structure at the PBE level of DFT. Values from VASP.

Cell and atoms, written as Quantum ESPRESSO input:
```
&SYSTEM
  ibrav = 0, nat = 12, ntyp = 4
/
ATOMIC_SPECIES
Cu 63.55 Cu.upf
Fe 55.84 Fe.upf
Mg 24.30 Mg.upf
Se 78.96 Se.upf
CELL_PARAMETERS angstrom
1.798 -6.399 0.000
1.798 6.399 0.000
0.000 0.000 9.636
ATOMIC_POSITIONS crystal
Cu 0.972 0.028 0.250
Cu 0.028 0.972 0.750
Fe 0.500 0.500 0.000
Fe 0.500 0.500 0.500
Mg 0.269 0.731 0.250
Mg 0.731 0.269 0.750
Se 0.859 0.141 0.055
Se 0.598 0.402 0.250
Se 0.859 0.141 0.445
Se 0.141 0.859 0.555
Se 0.402 0.598 0.750
Se 0.141 0.859 0.945
```

Computed properties:
Crystal system: orthorhombic
Raw total energy (Ha/atom): -0.1592

No. 3
Computed, not measured: a geometry-optimized MgFeCuSi structure at the PBE level of DFT. Values from VASP.

Cell and atoms, written as Quantum ESPRESSO input:
```
&SYSTEM
  ibrav = 0, nat = 4, ntyp = 4
/
ATOMIC_SPECIES
Cu 63.55 Cu.upf
Fe 55.84 Fe.upf
Mg 24.30 Mg.upf
Si 28.09 Si.upf
CELL_PARAMETERS angstrom
0.000 2.911 2.911
2.911 0.000 2.911
2.911 2.911 0.000
ATOMIC_POSITIONS crystal
Cu 0.250 0.250 0.250
Fe 0.750 0.750 0.750
Mg 0.500 0.500 0.500
Si 0.000 0.000 0.000
```

Computed properties:
Crystal system: cubic
E above lowest polymorph (meV per atom): 0
Raw total energy (Ha/atom): -0.1748

No. 4
Computed, not measured: a geometry-optimized MgFeCu4Si2 structure at the PBE level of DFT. Values from VASP.

Cell and atoms, written as Quantum ESPRESSO input:
```
&SYSTEM
  ibrav = 0, nat = 8, ntyp = 4
/
ATOMIC_SPECIES
Cu 63.55 Cu.upf
Fe 55.84 Fe.upf
Mg 24.30 Mg.upf
Si 28.09 Si.upf
CELL_PARAMETERS angstrom
4.054 0.000 0.000
0.000 4.054 0.000
0.000 0.000 5.944
ATOMIC_POSITIONS crystal
Cu 0.500 0.000 0.256
Cu 0.000 0.500 0.256
Cu 0.500 0.000 0.744
Cu 0.000 0.500 0.744
Fe 0.000 0.000 0.500
Mg 0.500 0.500 0.000
Si 0.000 0.000 0.000
Si 0.500 0.500 0.500
```

Computed properties:
Crystal system: tetragonal
E above lowest polymorph (meV per atom): 0
Raw total energy (Ha/atom): -0.1614

No. 5
Computed, not measured: a geometry-optimized MgFeCuSn structure at the PBE level of DFT. Values from VASP.

Cell and atoms, written as Quantum ESPRESSO input:
```
&SYSTEM
  ibrav = 0, nat = 4, ntyp = 4
/
ATOMIC_SPECIES
Cu 63.55 Cu.upf
Fe 55.84 Fe.upf
Mg 24.30 Mg.upf
Sn 118.71 Sn.upf
CELL_PARAMETERS angstrom
0.540 2.738 3.473
-2.217 3.861 0.158
-3.305 0.552 2.937
ATOMIC_POSITIONS crystal
Cu 0.750 0.750 0.750
Fe 0.250 0.250 0.250
Mg 0.500 0.500 0.500
Sn 0.000 0.000 0.000
```

Computed properties:
Crystal system: cubic
E above lowest polymorph (meV per atom): 0
Raw total energy (Ha/atom): -0.1584

No. 6
Computed, not measured: a geometry-optimized MgFeCu4Sn2 structure at the PBE level of DFT. Values from VASP.

Cell and atoms, written as Quantum ESPRESSO input:
```
&SYSTEM
  ibrav = 0, nat = 8, ntyp = 4
/
ATOMIC_SPECIES
Cu 63.55 Cu.upf
Fe 55.84 Fe.upf
Mg 24.30 Mg.upf
Sn 118.71 Sn.upf
CELL_PARAMETERS angstrom
-0.764 4.283 0.765
-4.204 -0.527 -1.250
-1.594 -1.344 5.927
ATOMIC_POSITIONS crystal
Cu 0.500 0.000 0.239
Cu 0.000 0.500 0.239
Cu 0.500 0.000 0.761
Cu 0.000 0.500 0.761
Fe 0.500 0.500 0.000
Mg 0.000 0.000 0.500
Sn 0.000 0.000 0.000
Sn 0.500 0.500 0.500
```

Computed properties:
Crystal system: tetragonal
Raw total energy (Ha/atom): -0.1474

No. 7
Computed, not measured: a geometry-optimized MgFeCuTc structure at the PBE level of DFT. Values from VASP.

Cell and atoms, written as Quantum ESPRESSO input:
```
&SYSTEM
  ibrav = 0, nat = 4, ntyp = 4
/
ATOMIC_SPECIES
Cu 63.55 Cu.upf
Fe 55.84 Fe.upf
Mg 24.30 Mg.upf
Tc 98.00 Tc.upf
CELL_PARAMETERS angstrom
-1.729 2.113 3.207
-4.123 -0.362 0.781
-1.322 -2.074 3.419
ATOMIC_POSITIONS crystal
Cu 0.500 0.500 0.500
Fe 0.000 0.000 0.000
Mg 0.750 0.750 0.750
Tc 0.250 0.250 0.250
```

Computed properties:
Crystal system: cubic
E above lowest polymorph (meV per atom): 0
Raw total energy (Ha/atom): -0.2114

No. 8
Computed, not measured: a geometry-optimized MgFeCuTe3 structure at the PBE level of DFT. Values from VASP.

Cell and atoms, written as Quantum ESPRESSO input:
```
&SYSTEM
  ibrav = 0, nat = 12, ntyp = 4
/
ATOMIC_SPECIES
Cu 63.55 Cu.upf
Fe 55.84 Fe.upf
Mg 24.30 Mg.upf
Te 127.60 Te.upf
CELL_PARAMETERS angstrom
4.201 4.953 -2.710
-5.568 -1.607 3.992
6.108 -0.666 8.253
ATOMIC_POSITIONS crystal
Cu 0.541 0.459 0.250
Cu 0.459 0.541 0.750
Fe 0.000 0.000 0.000
Fe 0.000 0.000 0.500
Mg 0.225 0.775 0.250
Mg 0.775 0.225 0.750
Te 0.641 0.359 0.041
Te 0.911 0.089 0.250
Te 0.641 0.359 0.459
Te 0.359 0.641 0.541
Te 0.089 0.911 0.750
Te 0.359 0.641 0.959
```

Computed properties:
Crystal system: orthorhombic
Raw total energy (Ha/atom): -0.1442